[1]
Compound: RbHg2Au2
Source: Alexandria via LeMat-Bulk
Functional: PBE
Structure: relaxed

Crystal system: tetragonal
Space group: I4/mmm (139)
ΔH_f (0 K) in eV/atom: -0.195
Offset from the most stable computed form in meV per atom: 0
VASP energy in eV per atom: -1.82

Geometry as POSCAR:
```
RbHg2Au2
1.0
-2.5305 2.5305 5.6412
2.5305 -2.5305 5.6412
2.5305 2.5305 -5.6412
Rb Hg Au
1 2 2
Cartesian
0.0000 0.0000 0.0000
2.5305 0.0000 2.8206
0.0000 2.5305 2.8206
0.0000 0.0000 4.2798
0.0000 0.0000 7.0027
```



[2]
Compound: Rb12HgAu5
Source: Alexandria via LeMat-Bulk
Functional: PBE
Structure: relaxed

Crystal system: orthorhombic
Space group: Immm (71)
ΔH_f (0 K) in eV/atom: -0.191
VASP energy in eV per atom: -1.76

Geometry as POSCAR:
```
Rb12HgAu5
1.0
-5.7420 6.0631 6.4377
5.7420 -6.0631 6.4377
5.7420 6.0631 -6.4377
Rb Hg Au
12 1 5
Cartesian
5.7420 3.6831 -3.5969
3.2528 2.1263 0.0000
8.2311 2.1263 0.0000
2.2186 6.0631 -2.2158
3.5234 0.0000 4.2219
0.0000 2.3800 2.8408
5.7420 3.6831 3.5969
2.2186 6.0631 2.2158
3.5234 0.0000 8.6535
-2.4892 3.9368 6.4377
2.4892 3.9368 6.4377
0.0000 2.3800 10.0347
0.0000 0.0000 6.4377
0.0000 0.0000 0.0000
5.7420 0.0000 1.4435
0.0000 4.5376 0.0000
0.0000 7.5887 0.0000
0.0000 6.0631 4.9942
```



[3]
Compound: RbHg5Au
Source: Alexandria via LeMat-Bulk
Functional: PBE
Structure: relaxed

Crystal system: tetragonal
Space group: P4/mmm (123)
ΔH_f (0 K) in eV/atom: -0.118
Offset from the most stable computed form in meV per atom: 15
VASP energy in eV per atom: -0.94

Geometry as POSCAR:
```
RbHg5Au
1.0
5.1781 0.0000 0.0000
0.0000 5.1781 0.0000
0.0000 0.0000 8.1221
Rb Hg Au
1 5 1
Cartesian
0.0000 0.0000 0.0000
0.0000 2.5891 2.4898
0.0000 2.5891 5.6323
2.5891 0.0000 2.4898
2.5891 0.0000 5.6323
2.5891 2.5891 0.0000
0.0000 0.0000 4.0610
```



[4]
Compound: RbHgAu
Source: Alexandria via LeMat-Bulk
Functional: PBE
Structure: relaxed

Crystal system: tetragonal
Space group: I4mm (107)
ΔH_f (0 K) in eV/atom: -0.212
Offset from the most stable computed form in meV per atom: 63
VASP energy in eV per atom: -1.73

Geometry as POSCAR:
```
RbHgAu
1.0
-2.0025 2.0025 6.0085
2.0025 -2.0025 6.0085
2.0025 2.0025 -6.0085
Rb Hg Au
1 1 1
Cartesian
0.0000 0.0000 0.0000
0.0000 0.0000 3.5359
0.0000 0.0000 8.3396
```



[5]
Compound: Rb2Hg2Au15
Source: Alexandria via LeMat-Bulk
Functional: PBE
Structure: relaxed

Crystal system: trigonal
Space group: R-3m (166)
ΔH_f (0 K) in eV/atom: -0.097
VASP energy in eV per atom: -2.82

Geometry as POSCAR:
```
Rb2Hg2Au15
1.0
5.0318 2.9051 4.6634
-5.0318 2.9051 4.6634
0.0000 -5.8103 4.6634
Rb Hg Au
2 2 15
Cartesian
0.0000 0.0000 2.0890
0.0000 0.0000 11.9012
0.0000 0.0000 5.5548
0.0000 0.0000 8.4354
-2.5159 -1.4526 4.6634
0.0000 -2.8876 4.5556
-2.5007 1.4438 4.5556
-1.5881 -2.7508 6.9951
-3.1763 0.0000 6.9951
-2.5007 -1.4438 9.4346
-2.5159 1.4526 9.3268
1.5881 -2.7507 6.9951
0.0000 2.9051 4.6634
-1.5881 2.7507 6.9951
2.5007 1.4438 4.5556
3.1763 0.0000 6.9951
1.5881 2.7507 6.9951
2.5007 -1.4438 9.4346
0.0000 2.8876 9.4346
```



[6]
Compound: Rb4Hg5Au3
Source: Alexandria via LeMat-Bulk
Functional: PBE
Structure: relaxed

Crystal system: monoclinic
Space group: C2/m (12)
ΔH_f (0 K) in eV/atom: -0.232
VASP energy in eV per atom: -1.50

Geometry as POSCAR:
```
Rb4Hg5Au3
1.0
10.0202 -2.6488 0.0000
10.0202 2.6488 0.0000
-1.9829 0.0000 8.0247
Rb Hg Au
4 5 3
Cartesian
1.2344 0.0000 3.3405
1.4505 0.0000 7.7006
16.6071 0.0000 0.3241
16.8232 0.0000 4.6843
0.0000 0.0000 0.0000
4.2572 0.0000 5.4267
8.4212 0.0000 2.4727
9.6364 0.0000 5.5520
13.8004 0.0000 2.5980
5.4106 0.0000 2.6228
10.0202 0.0000 0.0000
12.6470 0.0000 5.4019
```



[7]
Compound: Rb6Hg23Au
Source: Alexandria via LeMat-Bulk
Functional: PBE
Structure: relaxed

Crystal system: cubic
Space group: Fm-3m (225)
ΔH_f (0 K) in eV/atom: -0.184
VASP energy in eV per atom: -0.72

Geometry as POSCAR:
```
Rb6Hg23Au
1.0
0.0000 7.8537 7.8537
7.8537 0.0000 7.8537
7.8537 7.8537 0.0000
Rb Hg Au
6 23 1
Cartesian
7.8537 7.8537 3.4233
7.8537 3.4233 7.8537
12.2841 7.8537 7.8537
3.4233 7.8537 7.8537
7.8537 12.2841 7.8537
7.8537 7.8537 12.2841
3.9269 3.9269 0.0000
3.9269 0.0000 3.9269
7.8537 3.9269 3.9269
9.7116 5.9958 5.9958
2.6682 2.6682 2.6682
5.1855 5.1855 2.6682
5.1855 2.6682 5.1855
5.9958 5.9958 5.9958
9.7116 9.7116 5.9958
9.7116 5.9958 9.7116
2.6682 5.1855 5.1855
0.0000 3.9269 3.9269
3.9269 7.8537 3.9269
3.9269 3.9269 7.8537
7.8537 7.8537 7.8537
13.0393 10.5219 10.5219
5.9958 9.7116 5.9958
5.9958 5.9958 9.7116
9.7116 9.7116 9.7116
10.5219 13.0393 10.5219
10.5219 10.5219 13.0393
13.0393 13.0393 13.0393
5.9958 9.7116 9.7116
0.0000 0.0000 0.0000
```



[8]
Compound: Rb6HgAu
Source: Alexandria via LeMat-Bulk
Functional: PBE
Structure: relaxed

Crystal system: orthorhombic
Space group: Amm2 (38)
ΔH_f (0 K) in eV/atom: -0.119
Offset from the most stable computed form in meV per atom: 2
VASP energy in eV per atom: -1.29

Geometry as POSCAR:
```
Rb6HgAu
1.0
4.8655 0.0000 0.0000
0.0000 6.8878 7.8222
0.0000 -6.8878 7.8222
Rb Hg Au
6 1 1
Cartesian
0.0000 0.0000 0.0000
0.0000 -2.1283 11.2116
0.0000 2.1283 11.2116
2.4327 0.0000 4.1681
2.4327 -2.8059 7.4318
2.4327 2.8059 7.4318
0.0000 0.0000 7.8428
2.4327 0.0000 9.5637
```



[9]
Compound: RbHg6Au6
Source: Alexandria via LeMat-Bulk
Functional: PBE
Structure: relaxed

Crystal system: orthorhombic
Space group: Immm (71)
ΔH_f (0 K) in eV/atom: -0.039
VASP energy in eV per atom: -1.77

Geometry as POSCAR:
```
RbHg6Au6
1.0
-2.8796 5.0138 5.1007
2.8796 -5.0138 5.1007
2.8796 5.0138 -5.1007
Rb Hg Au
1 6 6
Cartesian
0.0000 0.0000 0.0000
2.8796 1.9407 0.0000
0.0000 0.0000 3.5424
0.0000 3.5132 0.0000
0.0000 6.5144 0.0000
0.0000 0.0000 6.6590
0.0000 3.0731 5.1007
1.4398 2.5069 -2.5503
1.4398 -2.5069 2.5503
2.8796 0.0000 2.2876
-1.4398 2.5069 2.5503
1.4398 2.5069 2.5503
0.0000 5.0138 2.8131
```



[10]
Compound: RbHg2Au3
Source: Alexandria via LeMat-Bulk
Functional: PBE
Structure: relaxed

Crystal system: orthorhombic
Space group: Cmcm (63)
ΔH_f (0 K) in eV/atom: -0.137
VASP energy in eV per atom: -2.04

Geometry as POSCAR:
```
RbHg2Au3
1.0
5.7997 -4.5404 0.0000
5.7997 4.5404 0.0000
0.0000 0.0000 6.2042
Rb Hg Au
2 4 6
Cartesian
5.7997 2.9608 4.6532
5.7997 -2.9608 1.5511
3.4520 0.0000 0.0000
3.4520 0.0000 3.1021
8.1474 0.0000 0.0000
8.1474 0.0000 3.1021
3.5436 2.5020 1.5511
5.7997 0.8921 1.5511
8.0557 2.5020 1.5511
3.5436 -2.5020 4.6532
5.7997 -0.8921 4.6532
8.0557 -2.5020 4.6532
```



[11]
Compound: RbHg6Au3
Source: Alexandria via LeMat-Bulk
Functional: PBE
Structure: relaxed

Crystal system: triclinic
Space group: P1 (1)
ΔH_f (0 K) in eV/atom: -0.086
VASP energy in eV per atom: -1.35

Geometry as POSCAR:
```
RbHg6Au3
1.0
6.8692 0.0000 0.0000
-2.6838 6.3983 0.0000
-2.0109 -3.1782 6.1790
Rb Hg Au
1 6 3
Cartesian
0.0000 0.0000 0.0000
-2.0679 2.5425 1.8743
-1.2287 2.8977 5.0456
0.2620 -0.2573 5.5730
1.0211 1.8626 2.9172
2.6073 4.6770 2.7290
3.5490 0.0293 4.7652
0.2036 4.0236 0.9315
1.3050 -1.2763 3.1453
3.2831 0.2802 1.8087
```



[12]
Compound: Rb8HgAu4
Source: Alexandria via LeMat-Bulk
Functional: PBE
Structure: relaxed

Crystal system: trigonal
Space group: R-3m (166)
ΔH_f (0 K) in eV/atom: -0.189
VASP energy in eV per atom: -1.82

Geometry as POSCAR:
```
Rb8HgAu4
1.0
5.0163 2.8962 8.3112
-5.0163 2.8962 8.3112
0.0000 -5.7923 8.3112
Rb Hg Au
8 1 4
Cartesian
0.0000 0.0000 6.1203
-2.4789 -1.4312 14.3938
0.0000 -2.8623 10.5398
-2.4789 1.4312 10.5398
2.4789 -1.4312 14.3938
0.0000 2.8623 14.3938
2.4789 1.4312 10.5398
0.0000 0.0000 18.8132
0.0000 0.0000 0.0000
-5.0163 0.0000 12.4668
-2.5081 1.4481 4.1556
2.5082 1.4481 4.1556
0.0000 0.0000 12.4668
```



Repeat the second record exactly.
Compound: Rb12HgAu5
Source: Alexandria via LeMat-Bulk
Functional: PBE
Structure: relaxed

Crystal system: orthorhombic
Space group: Immm (71)
ΔH_f (0 K) in eV/atom: -0.191
VASP energy in eV per atom: -1.76

Geometry as POSCAR:
```
Rb12HgAu5
1.0
-5.7420 6.0631 6.4377
5.7420 -6.0631 6.4377
5.7420 6.0631 -6.4377
Rb Hg Au
12 1 5
Cartesian
5.7420 3.6831 -3.5969
3.2528 2.1263 0.0000
8.2311 2.1263 0.0000
2.2186 6.0631 -2.2158
3.5234 0.0000 4.2219
0.0000 2.3800 2.8408
5.7420 3.6831 3.5969
2.2186 6.0631 2.2158
3.5234 0.0000 8.6535
-2.4892 3.9368 6.4377
2.4892 3.9368 6.4377
0.0000 2.3800 10.0347
0.0000 0.0000 6.4377
0.0000 0.0000 0.0000
5.7420 0.0000 1.4435
0.0000 4.5376 0.0000
0.0000 7.5887 0.0000
0.0000 6.0631 4.9942
```